This record from Alexandria via LeMat-Bulk describes ScFeBr at its PBEsol-relaxed geometry. The functional is meta-GGA SCAN.

a = 3.2105 Å, b = 3.2105 Å, c = 5.6293 Å
α = 106.57°, β = 106.57°, γ = 90.00°
Last column: nearest neighbours and their distance in Å.
Fractional positions:
Sc 0.3161 0.3161 0.6321  4 Fe 2.72
Br 0.0134 0.0134 0.0269  4 Fe 2.79, 5 Sc 3.05-3.12
Fe 0.6705 0.6705 0.3410  4 Sc 2.72, 4 Br 2.79

Output
Space group: No. 107
E_tot, eV/atom: -17.39

---

This record from Alexandria via LeMat-Bulk describes CdAgW2 at its PBEsol-relaxed geometry. The functional is meta-GGA SCAN.

a = 4.0704 Å, b = 3.5121 Å, c = 4.6102 Å
α = 90.00°, β = 90.00°, γ = 90.00°
Last column: nearest neighbours and their distance in Å.
Fractional positions:
W 0.0000 0.0000 0.0000  4 W 2.69, 4 Cd 2.90
W 0.5000 0.5000 0.0000  4 W 2.69, 4 Ag 2.90
Cd 0.0000 0.5000 0.5000  4 Ag 2.69, 4 W 2.90
Ag 0.5000 0.0000 0.5000  4 Cd 2.69, 4 W 2.90

Output
Space group: No. 47
E_tot, eV/atom: -49.62

---

This record from Alexandria via LeMat-Bulk describes Cr3SiSn at its PBEsol-relaxed geometry. The functional is meta-GGA SCAN.

a = 4.9132 Å, b = 4.9132 Å, c = 4.9132 Å
α = 90.00°, β = 90.00°, γ = 90.00°
Last column: nearest neighbours and their distance in Å.
Fractional positions:
Cr 0.0000 0.0000 0.5000  2 Sn 2.46
Cr 0.5000 0.0000 0.0000  2 Sn 2.46
Cr 0.0000 0.5000 0.0000  2 Sn 2.46
Si 0.5000 0.5000 0.5000  12 Cr 3.47
Sn 0.0000 0.0000 0.0000  6 Cr 2.46

Output
Space group: No. 221
E_tot, eV/atom: -18.89

---

This record from Alexandria via LeMat-Bulk describes Ga3WC at its PBEsol-relaxed geometry. The functional is meta-GGA SCAN.

a = 4.8666 Å, b = 4.8666 Å, c = 4.8666 Å
α = 90.00°, β = 90.00°, γ = 90.00°
Last column: nearest neighbours and their distance in Å.
Fractional positions:
C 0.5000 0.5000 0.5000  12 Ga 3.44
Ga 0.0000 0.5000 0.0000  2 W 2.43
Ga 0.0000 0.0000 0.5000  2 W 2.43
Ga 0.5000 0.0000 0.0000  2 W 2.43
W 0.0000 0.0000 0.0000  6 Ga 2.43

Output
Space group: No. 221
E_tot, eV/atom: -23.83

---

This record from Alexandria via LeMat-Bulk describes K3IrF6 at its PBEsol-relaxed geometry. The functional is meta-GGA SCAN.

a = 5.8790 Å, b = 5.8790 Å, c = 6.8755 Å
α = 64.69°, β = 64.69°, γ = 60.00°
Last column: nearest neighbours and their distance in Å.
Fractional positions:
F 0.7741 0.7741 0.1958  1 Ir 2.01
F 0.7741 0.2559 0.1958  1 Ir 2.01
F 0.2259 0.7441 0.8042  1 Ir 2.01
F 0.2259 0.2259 0.8042  1 Ir 2.01
F 0.2559 0.7741 0.1958  1 Ir 2.01
F 0.7441 0.2259 0.8042  1 Ir 2.01
Ir 0.0000 0.0000 0.0000  6 F 2.01
K 0.7157 0.7157 0.8530  9 F 2.70-2.95
K 0.2843 0.2843 0.1470  9 F 2.70-2.95
K 0.5000 0.5000 0.5000  6 F 2.53

Output
Space group: No. 166
E_tot, eV/atom: -14.18

---

This record from Alexandria via LeMat-Bulk describes Ca2InPt at its PBEsol-relaxed geometry. The functional is meta-GGA SCAN.

a = 3.8431 Å, b = 3.8431 Å, c = 8.8329 Å
α = 77.43°, β = 77.43°, γ = 60.00°
Last column: nearest neighbours and their distance in Å.
Fractional positions:
Ca 0.7666 0.7666 0.7001  3 Pt 2.80
Ca 0.2334 0.2334 0.2999  3 Pt 2.80
Pt 0.5000 0.5000 0.5000  6 Ca 2.80
In 0.0000 0.0000 0.0000  6 Ca 3.39

Output
Space group: No. 166
E_tot, eV/atom: -31.33

---

This record from Alexandria via LeMat-Bulk describes LiNi2Br at its PBEsol-relaxed geometry. The functional is meta-GGA SCAN.

a = 2.9320 Å, b = 2.9320 Å, c = 7.8871 Å
α = 79.29°, β = 79.29°, γ = 60.00°
Last column: nearest neighbours and their distance in Å.
Fractional positions:
Li 0.0000 0.0000 0.0000  6 Ni 2.65, 6 Li 2.93
Br 0.5000 0.5000 0.5000  6 Ni 2.48
Ni 0.2453 0.2453 0.2641  3 Br 2.48, 3 Li 2.65
Ni 0.7547 0.7547 0.7359  3 Br 2.48, 3 Li 2.65

Output
Space group: No. 166
E_tot, eV/atom: -12.96

---

This record from Alexandria via LeMat-Bulk describes MnCo2As at its PBEsol-relaxed geometry. The functional is meta-GGA SCAN.

a = 3.3632 Å, b = 3.6632 Å, c = 3.6632 Å
α = 90.00°, β = 90.00°, γ = 90.00°
Last column: nearest neighbours and their distance in Å.
Fractional positions:
As 0.5000 0.0000 0.0000  8 Co 2.49, 4 Mn 2.59
Co 0.0000 0.5000 0.0000  4 As 2.49, 4 Mn 2.49, 4 Co 2.59
Co 0.0000 0.0000 0.5000  4 Mn 2.49, 4 As 2.49, 4 Co 2.59
Mn 0.5000 0.5000 0.5000  8 Co 2.49, 4 As 2.59

Output
Space group: No. 123
E_tot, eV/atom: -18.40

---

This record from Alexandria via LeMat-Bulk describes SrAg2HgB at its PBEsol-relaxed geometry. The functional is meta-GGA SCAN.

a = 4.2362 Å, b = 5.2294 Å, c = 5.2294 Å
α = 90.00°, β = 90.00°, γ = 90.00°
Last column: nearest neighbours and their distance in Å.
Fractional positions:
Ag 0.0000 0.0000 0.5000  2 Hg 2.61
Ag 0.0000 0.5000 0.0000  2 Hg 2.61
B 0.5000 0.0000 0.0000  2 Hg 2.12
Hg 0.0000 0.0000 0.0000  2 B 2.12
Sr 0.5000 0.5000 0.5000  8 Ag 3.36, 4 B 3.70

Output
Space group: No. 123
E_tot, eV/atom: -31.62

---

This record from Alexandria via LeMat-Bulk describes Li2AlVO4 at its PBEsol-relaxed geometry. The functional is meta-GGA SCAN.

a = 4.0193 Å, b = 5.8974 Å, c = 6.5258 Å
α = 90.00°, β = 90.00°, γ = 90.00°
Last column: nearest neighbours and their distance in Å.
Fractional positions:
O 0.0625 0.3635 0.5000  1 Al 1.80
O 0.5625 0.1801 0.2382  1 Al 1.79, 1 V 1.91, 1 Li 1.99
O 0.5625 0.6463 0.5000  1 V 1.90, 2 Li 2.01, 2 Al 2.01
O 0.0625 0.3537 0.0000  1 V 1.90, 2 Li 2.01, 2 Al 2.01
O 0.0625 0.8199 0.7382  1 Al 1.79, 1 V 1.91, 1 Li 1.99
O 0.5625 0.6365 0.0000  1 Al 1.80
O 0.0625 0.8199 0.2618  1 Al 1.79, 1 V 1.91, 1 Li 1.99
O 0.5625 0.1801 0.7618  1 Al 1.79, 1 V 1.91, 1 Li 1.99
Li 0.0625 0.1576 0.7479  5 O 1.99-2.02
Li 0.5625 0.8424 0.7521  5 O 1.99-2.02
Li 0.5625 0.8424 0.2479  5 O 1.99-2.02
Li 0.0625 0.1576 0.2521  5 O 1.99-2.02
Al 0.5625 0.3307 0.0000  3 O 1.79-1.80
Al 0.0625 0.6693 0.5000  3 O 1.79-1.80
V 0.5625 0.3249 0.5000  5 O 1.90-2.02
V 0.0625 0.6751 0.0000  5 O 1.90-2.02

Output
Space group: No. 59
E_tot, eV/atom: -9.57

---

This record from Alexandria via LeMat-Bulk describes CaLaCo2 at its PBEsol-relaxed geometry. The functional is meta-GGA SCAN.

a = 3.8779 Å, b = 4.0045 Å, c = 6.9219 Å
α = 106.81°, β = 106.27°, γ = 90.00°
Last column: nearest neighbours and their distance in Å.
Fractional positions:
Co 0.0861 0.5861 0.1723  2 Co 2.13
Co 0.6562 0.6562 0.3124  2 Co 2.13
La 0.5063 0.0063 0.0126  6 Co 2.76-2.97
Ca 0.2513 0.2513 0.5027  6 Co 2.90-3.04

Output
Space group: No. 44
E_tot, eV/atom: -21.62

---

This record from Alexandria via LeMat-Bulk describes Mg2AgSe at its PBEsol-relaxed geometry. The functional is meta-GGA SCAN.

a = 3.7497 Å, b = 3.7819 Å, c = 5.9589 Å
α = 108.50°, β = 90.02°, γ = 90.00°
Last column: nearest neighbours and their distance in Å.
Fractional positions:
Se 0.6250 0.4730 0.9460  5 Mg 2.73-2.74, 2 Ag 2.87
Mg 0.1250 0.0318 0.0637  4 Se 2.74, 1 Ag 2.81
Mg 0.6250 0.7146 0.4291  1 Se 2.73, 4 Ag 2.77
Ag 0.1250 0.2806 0.5612  5 Mg 2.77-2.81, 2 Se 2.87

Output
Space group: No. 38
E_tot, eV/atom: -15.90

---

This record from Alexandria via LeMat-Bulk describes ScTaTc at its PBEsol-relaxed geometry. The functional is meta-GGA SCAN.

a = 2.9571 Å, b = 4.4539 Å, c = 4.4539 Å
α = 120.00°, β = 90.00°, γ = 90.00°
Last column: nearest neighbours and their distance in Å.
Fractional positions:
Ta 0.6182 0.3333 0.6667  3 Tc 2.69, 3 Sc 2.84, 2 Ta 2.96
Sc 0.0279 0.0000 0.0000  3 Tc 2.75, 3 Ta 2.84, 2 Sc 2.96
Tc 0.3538 0.6667 0.3333  3 Ta 2.69, 3 Sc 2.75, 2 Tc 2.96

Output
Space group: No. 156
E_tot, eV/atom: -38.80

---

This record from Alexandria via LeMat-Bulk describes K2RePb at its PBEsol-relaxed geometry. The functional is meta-GGA SCAN.

a = 3.6769 Å, b = 3.6769 Å, c = 10.0919 Å
α = 90.00°, β = 90.00°, γ = 90.00°
Last column: nearest neighbours and their distance in Å.
Fractional positions:
K 0.5000 0.5000 0.3300  1 Re 3.38, 4 Pb 3.67, 4 K 3.68
K 0.0000 0.0000 0.9188  1 Pb 3.36, 4 Re 3.65, 4 K 3.68
Re 0.5000 0.5000 0.6652  4 Pb 2.72
Pb 0.0000 0.0000 0.5860  4 Re 2.72

Output
Space group: No. 99
E_tot, eV/atom: -40.03

---

This record from Alexandria via LeMat-Bulk describes CaZnSbH at its PBEsol-relaxed geometry. The functional is meta-GGA SCAN.

a = 4.3015 Å, b = 4.3015 Å, c = 4.7090 Å
α = 90.00°, β = 90.00°, γ = 120.00°
Last column: nearest neighbours and their distance in Å.
Fractional positions:
Sb 0.3333 0.6667 0.9700  3 Zn 2.60
Zn 0.6667 0.3333 0.8064  1 H 1.68
Ca 0.0000 0.0000 0.4152  3 H 2.49
H 0.6667 0.3333 0.4497  1 Zn 1.68

Output
Space group: No. 156
E_tot, eV/atom: -16.58

---

This record from Alexandria via LeMat-Bulk describes Sc3GaTc at its PBEsol-relaxed geometry. The functional is meta-GGA SCAN.

a = 4.8786 Å, b = 4.8786 Å, c = 4.8786 Å
α = 90.00°, β = 90.00°, γ = 90.00°
Last column: nearest neighbours and their distance in Å.
Fractional positions:
Ga 0.0000 0.0000 0.0000  6 Sc 2.44
Tc 0.5000 0.5000 0.5000  12 Sc 3.45
Sc 0.0000 0.0000 0.5000  2 Ga 2.44
Sc 0.5000 0.0000 0.0000  2 Ga 2.44
Sc 0.0000 0.5000 0.0000  2 Ga 2.44

Output
Space group: No. 221
E_tot, eV/atom: -18.16

---

This record from Alexandria via LeMat-Bulk describes Mg30CdCuO32 at its PBEsol-relaxed geometry. The functional is meta-GGA SCAN.

a = 8.4439 Å, b = 8.4941 Å, c = 8.4941 Å
α = 90.00°, β = 90.00°, γ = 90.00°
Last column: nearest neighbours and their distance in Å.
Fractional positions:
Mg 0.5000 0.5000 0.5000  6 O 2.11
Mg 0.0000 0.7508 0.2492  6 O 2.11-2.13
Mg 0.7541 0.2527 0.0000  6 O 2.08-2.15
Mg 0.7541 0.0000 0.7473  6 O 2.08-2.15
Mg 0.2459 0.7473 0.0000  6 O 2.08-2.15
Mg 0.5000 0.2522 0.7478  6 O 2.10-2.14
Mg 0.7541 0.7473 0.0000  6 O 2.08-2.15
Mg 0.7506 0.7498 0.5000  6 O 2.11-2.13
Mg 0.7506 0.5000 0.7498  6 O 2.11-2.13
Mg 0.2459 0.2527 0.0000  6 O 2.08-2.15
Mg 0.7506 0.5000 0.2502  6 O 2.11-2.13
Mg 0.5000 0.2522 0.2522  6 O 2.10-2.14
Mg 0.7541 0.0000 0.2527  6 O 2.08-2.15
Mg 0.2459 0.0000 0.2527  6 O 2.08-2.15
Mg 0.5000 0.7478 0.7478  6 O 2.10-2.14
Mg 0.5000 0.5000 0.0000  6 O 2.03-2.14
Mg 0.0000 0.5000 0.0000  6 O 2.05-2.13
Mg 0.2459 0.0000 0.7473  6 O 2.08-2.15
Mg 0.0000 0.7508 0.7508  6 O 2.11-2.13
Mg 0.2494 0.5000 0.7498  6 O 2.11-2.13
Mg 0.2494 0.2502 0.5000  6 O 2.11-2.13
Mg 0.2494 0.5000 0.2502  6 O 2.11-2.13
Mg 0.5000 0.7478 0.2522  6 O 2.10-2.14
Mg 0.0000 0.5000 0.5000  6 O 2.11
Mg 0.2494 0.7498 0.5000  6 O 2.11-2.13
Mg 0.0000 0.2492 0.2492  6 O 2.11-2.13
Mg 0.0000 0.0000 0.5000  6 O 2.05-2.13
Mg 0.0000 0.2492 0.7508  6 O 2.11-2.13
Mg 0.7506 0.2502 0.5000  6 O 2.11-2.13
Mg 0.5000 0.0000 0.5000  6 O 2.03-2.14
O 0.2504 0.7508 0.2492  6 Mg 2.11-2.13
O 0.7496 0.2492 0.7508  6 Mg 2.11-2.13
O 0.0000 0.0000 0.7412  5 Mg 2.05-2.12, 1 Cu 2.20
O 0.7496 0.7508 0.2492  6 Mg 2.11-2.13
O 0.7496 0.2492 0.2492  6 Mg 2.11-2.13
O 0.7503 0.5000 0.0000  6 Mg 2.10-2.13
O 0.2500 0.5000 0.5000  6 Mg 2.11-2.12
O 0.7496 0.7508 0.7508  6 Mg 2.11-2.13
O 0.2504 0.2492 0.7508  6 Mg 2.11-2.13
O 0.5000 0.2515 0.5000  6 Mg 2.10-2.14
O 0.2504 0.2492 0.2492  6 Mg 2.11-2.13
O 0.0000 0.2511 0.5000  6 Mg 2.11-2.13
O 0.0000 0.0000 0.2588  5 Mg 2.05-2.12, 1 Cu 2.20
O 0.5000 0.7485 0.5000  6 Mg 2.10-2.14
O 0.0000 0.2588 0.0000  5 Mg 2.05-2.12, 1 Cu 2.20
O 0.5000 0.2616 0.0000  5 Mg 2.03-2.15, 1 Cd 2.22
O 0.7690 0.0000 0.0000  1 Cu 1.95, 4 Mg 2.15
O 0.5000 0.0000 0.2616  5 Mg 2.03-2.15, 1 Cd 2.22
O 0.0000 0.7489 0.5000  6 Mg 2.11-2.13
O 0.2504 0.7508 0.7508  6 Mg 2.11-2.13
O 0.0000 0.5000 0.2511  6 Mg 2.11-2.13
O 0.0000 0.7412 0.0000  5 Mg 2.05-2.12, 1 Cu 2.20
O 0.5000 0.7384 0.0000  5 Mg 2.03-2.15, 1 Cd 2.22
O 0.5000 0.0000 0.7384  5 Mg 2.03-2.15, 1 Cd 2.22
O 0.7500 0.5000 0.5000  6 Mg 2.11-2.12
O 0.5000 0.5000 0.2515  6 Mg 2.10-2.14
O 0.2497 0.0000 0.5000  6 Mg 2.10-2.13
O 0.7503 0.0000 0.5000  6 Mg 2.10-2.13
O 0.2310 0.0000 0.0000  1 Cu 1.95, 4 Mg 2.15
O 0.2497 0.5000 0.0000  6 Mg 2.10-2.13
O 0.5000 0.5000 0.7485  6 Mg 2.10-2.14
O 0.0000 0.5000 0.7489  6 Mg 2.11-2.13
Cu 0.0000 0.0000 0.0000  2 O 1.95
Cd 0.5000 0.0000 0.0000  6 O 2.22-2.27

Output
Space group: No. 123
E_tot, eV/atom: -9.03

---

This record from Alexandria via LeMat-Bulk describes YSc2Ni at its PBEsol-relaxed geometry. The functional is meta-GGA SCAN.

a = 3.2180 Å, b = 3.2180 Å, c = 8.1201 Å
α = 90.00°, β = 90.00°, γ = 89.94°
Last column: nearest neighbours and their distance in Å.
Fractional positions:
Sc 0.0000 0.0000 0.1825  4 Ni 2.71-2.72, 1 Sc 2.96
Sc 0.0000 0.0000 0.8175  4 Ni 2.71-2.72, 1 Sc 2.96
Y 0.5000 0.5000 0.5000  4 Y 3.22, 8 Sc 3.44
Ni 0.5000 0.5000 0.0000  8 Sc 2.71-2.72

Output
Space group: No. 123
E_tot, eV/atom: -18.32

---

This record from Alexandria via LeMat-Bulk describes KMo2As at its PBEsol-relaxed geometry. The functional is meta-GGA SCAN.

a = 2.7142 Å, b = 4.8600 Å, c = 6.2503 Å
α = 90.00°, β = 93.34°, γ = 90.00°
Last column: nearest neighbours and their distance in Å.
Fractional positions:
Mo 0.6462 0.0000 0.6744  1 Mo 2.28
Mo 0.3538 0.0000 0.3256  1 Mo 2.28
K 0.0000 0.5000 0.0000  2 K 2.71
As 0.5000 0.5000 0.5000  4 Mo 2.68, 2 As 2.71

Output
Space group: No. 10
E_tot, eV/atom: -23.73

---

This record from Alexandria via LeMat-Bulk describes BAsOs3 at its PBEsol-relaxed geometry. The functional is meta-GGA SCAN.

a = 4.0876 Å, b = 4.0876 Å, c = 4.0876 Å
α = 90.00°, β = 90.00°, γ = 90.00°
Last column: nearest neighbours and their distance in Å.
Fractional positions:
Os 0.5000 0.0000 0.0000  2 B 2.04
Os 0.0000 0.5000 0.0000  2 B 2.04
Os 0.0000 0.0000 0.5000  2 B 2.04
As 0.5000 0.5000 0.5000  12 Os 2.89
B 0.0000 0.0000 0.0000  6 Os 2.04

Output
Space group: No. 221
E_tot, eV/atom: -47.92